Entry 1:
Density functional theory data (PBE-GGA) for crystalline HfNb2Re2 at its relaxed geometry.

abc: 7.592 7.592 3.160
angles: 90.00 90.00 90.00
Element x y z (fractional)
Re  0.356  0.856  0.000
Re  0.856  0.644  0.000
Re  0.644  0.144  0.000
Re  0.144  0.356  0.000
Nb  0.155  0.655  0.500
Nb  0.655  0.845  0.500
Nb  0.845  0.345  0.500
Nb  0.345  0.155  0.500
Hf  0.000  0.000  0.000
Hf  0.500  0.500  0.000

Properties
The density of states at the Fermi level comes out at 7.88 states/eV/f.u. For the total DFT energy (no corrections), the calculation gives -10.8404 eV per atom.


Entry 2:
Density functional theory data (PBE-GGA) for crystalline CaCd2GaPd2 at its relaxed geometry.

abc: 5.341 5.341 6.491
angles: 114.29 114.29 90.00
Element x y z (fractional)
Ca  0.500  0.500  0.000
Cd  0.250  0.750  0.500
Cd  0.750  0.250  0.500
Ga  0.000  0.000  0.000
Pd  0.776  0.776  0.552
Pd  0.224  0.224  0.448

Properties
The density of states at the Fermi level comes out at 2.40 states/eV/f.u. For the total DFT energy (no corrections), the calculation gives -3.1357 eV per atom.


Entry 3:
Density functional theory data (PBE-GGA) for crystalline Pm2AlCu3 at its relaxed geometry.

abc: 5.739 5.739 8.460
angles: 106.87 106.87 98.32
Element x y z (fractional)
Pm  0.250  0.750  0.500
Pm  0.762  0.762  0.000
Pm  0.750  0.250  0.500
Pm  0.238  0.238  0.000
Al  0.665  0.665  0.331
Al  0.335  0.335  0.669
Cu  0.335  0.830  0.166
Cu  0.170  0.665  0.834
Cu  0.665  0.170  0.834
Cu  0.830  0.335  0.166
Cu  0.168  0.168  0.336
Cu  0.832  0.832  0.664

Properties
The density of states at the Fermi level comes out at 5.11 states/eV/f.u. For the total DFT energy (no corrections), the calculation gives -4.5031 eV per atom.


Entry 4:
Density functional theory data (PBE-GGA) for crystalline Ce2HoNi2Ge2 at its relaxed geometry.

abc: 4.196 4.196 9.184
angles: 76.80 76.80 60.00
Element x y z (fractional)
Ce  0.137  0.137  0.590
Ce  0.863  0.863  0.410
Ho  0.000  0.000  0.000
Ni  0.594  0.594  0.217
Ni  0.406  0.406  0.783
Ge  0.736  0.736  0.793
Ge  0.264  0.264  0.207

Properties
The density of states at the Fermi level comes out at 7.88 states/eV/f.u. For the total DFT energy (no corrections), the calculation gives -5.9614 eV per atom.


Entry 5:
Density functional theory data (PBE-GGA) for crystalline CeGa6Cu6 at its relaxed geometry.

abc: 5.144 6.691 6.691
angles: 80.49 67.39 67.39
Element x y z (fractional)
Ce  0.000  0.000  0.000
Ga  0.349  0.651  0.651
Ga  0.651  0.349  0.349
Ga  0.000  0.348  0.652
Ga  0.000  0.652  0.348
Ga  0.303  0.197  0.197
Ga  0.697  0.803  0.803
Cu  0.000  0.500  0.000
Cu  0.500  0.500  0.000
Cu  0.000  0.000  0.500
Cu  0.500  0.000  0.500
Cu  0.500  0.766  0.234
Cu  0.500  0.234  0.766

Properties
The density of states at the Fermi level comes out at 8.50 states/eV/f.u. For the total DFT energy (no corrections), the calculation gives -4.0142 eV per atom.


Entry 6:
Density functional theory data (PBE-GGA) for crystalline MgP2S at its relaxed geometry.

abc: 5.404 5.404 7.292
angles: 68.25 68.25 90.00
Element x y z (fractional)
P  0.663  0.125  0.250
P  0.087  0.625  0.250
P  0.375  0.337  0.750
P  0.875  0.913  0.750
S  0.000  0.000  0.000
S  0.750  0.250  0.500
Mg  0.500  0.500  0.000
Mg  0.250  0.750  0.500

Properties
The density of states at the Fermi level comes out at 0.14 states/eV/f.u. The value obtained for the formation energy without anion corrections is 1.01 eV/f.u.


Entry 7:
Density functional theory data (PBE-GGA) for crystalline Tl2InSnO4 at its relaxed geometry.

abc: 6.086 6.086 6.152
angles: 119.65 119.65 90.01
Element x y z (fractional)
Tl  0.486  0.986  0.972
Tl  0.236  0.236  0.472
In  0.986  0.486  0.972
Sn  0.736  0.736  0.472
O  0.712  0.616  0.717
O  0.855  0.467  0.226
O  0.371  0.760  0.227
O  0.005  0.101  0.718

Properties
The density of states at the Fermi level comes out at 3.12 states/eV/f.u. The value obtained for the formation energy without anion corrections is -8.37 eV/f.u.


Entry 8:
Density functional theory data (PBE-GGA) for crystalline Ir2RuPt at its relaxed geometry.

abc: 9.121 9.121 9.121
angles: 17.33 17.33 17.33
Element x y z (fractional)
Ru  0.750  0.750  0.750
Ir  0.004  0.004  0.004
Ir  0.496  0.496  0.496
Pt  0.250  0.250  0.250

Properties
The density of states at the Fermi level comes out at 6.52 states/eV/f.u. For the total DFT energy (no corrections), the calculation gives -8.2419 eV per atom.


Entry 9:
Density functional theory data (PBE-GGA) for crystalline Pr12Ho7Th at its relaxed geometry.

abc: 8.844 8.844 8.844
angles: 90.08 90.08 90.08
Element x y z (fractional)
Pr  0.874  0.275  0.734
Pr  0.725  0.266  0.126
Pr  0.621  0.146  0.500
Pr  0.854  0.500  0.379
Pr  0.266  0.126  0.725
Pr  0.500  0.379  0.854
Pr  0.500  0.621  0.146
Pr  0.734  0.874  0.275
Pr  0.146  0.500  0.621
Pr  0.379  0.854  0.500
Pr  0.275  0.734  0.874
Pr  0.126  0.725  0.266
Ho  0.851  0.622  0.941
Ho  0.378  0.059  0.149
Ho  0.059  0.149  0.378
Ho  0.500  0.500  0.500
Ho  0.941  0.851  0.622
Ho  0.622  0.941  0.851
Ho  0.149  0.378  0.059
Th  0.000  0.000  0.000

Properties
The density of states at the Fermi level comes out at 35.62 states/eV/f.u. For the total DFT energy (no corrections), the calculation gives -4.6210 eV per atom.


Entry 10:
Density functional theory data (PBE-GGA) for crystalline Ce2Dy5Os4 at its relaxed geometry.

abc: 5.187 4.015 13.730
angles: 81.64 100.89 90.00
Element x y z (fractional)
Ce  0.323  0.926  0.647
Ce  0.677  0.074  0.353
Dy  0.098  0.148  0.197
Dy  0.902  0.852  0.803
Dy  0.203  0.545  0.407
Dy  0.500  0.000  0.000
Dy  0.797  0.455  0.593
Os  0.611  0.633  0.222
Os  0.023  0.726  0.046
Os  0.389  0.367  0.778
Os  0.977  0.274  0.954

Properties
The density of states at the Fermi level comes out at 11.47 states/eV/f.u. For the total DFT energy (no corrections), the calculation gives -7.1159 eV per atom.


Entry 11:
Density functional theory data (PBE-GGA) for crystalline GaReBi2Au at its relaxed geometry.

abc: 5.528 5.224 5.528
angles: 90.00 90.00 90.00
Element x y z (fractional)
Re  0.000  0.500  0.000
Au  0.000  0.000  0.000
Bi  0.000  0.000  0.500
Bi  0.500  0.000  0.000
Ga  0.500  0.500  0.500

Properties
The density of states at the Fermi level comes out at 4.62 states/eV/f.u. For the total DFT energy (no corrections), the calculation gives -3.9355 eV per atom.


Entry 12:
Density functional theory data (PBE-GGA) for crystalline KRe2Ru at its relaxed geometry.

abc: 5.677 5.311 2.616
angles: 79.93 81.45 115.31
Element x y z (fractional)
K  0.500  0.000  0.500
Re  0.000  0.000  0.000
Re  0.000  0.500  0.500
Ru  0.500  0.500  0.000

Properties
The density of states at the Fermi level comes out at 5.59 states/eV/f.u. For the total DFT energy (no corrections), the calculation gives -7.3618 eV per atom.


Entry 13:
Density functional theory data (PBE-GGA) for crystalline Ho3Tm2Os2 at its relaxed geometry.

abc: 3.945 6.237 8.155
angles: 111.02 90.00 108.44
Element x y z (fractional)
Ho  0.500  0.000  0.000
Ho  0.625  0.250  0.433
Ho  0.375  0.750  0.567
Tm  0.833  0.666  0.181
Tm  0.167  0.334  0.819
Os  0.822  0.644  0.786
Os  0.178  0.356  0.214

Properties
The density of states at the Fermi level comes out at 4.71 states/eV/f.u. For the total DFT energy (no corrections), the calculation gives -6.7234 eV per atom.


Entry 14:
Density functional theory data (PBE-GGA) for crystalline Pm6BiPb2 at its relaxed geometry.

abc: 4.409 8.715 8.716
angles: 120.00 90.00 90.00
Element x y z (fractional)
Pm  0.500  0.597  0.000
Pm  0.500  0.403  0.403
Pm  0.500  0.000  0.597
Pm  0.000  0.270  0.000
Pm  0.000  0.730  0.730
Pm  0.000  0.000  0.270
Bi  0.500  0.000  0.000
Pb  0.000  0.333  0.666
Pb  0.000  0.667  0.334

Properties
The density of states at the Fermi level comes out at 10.05 states/eV/f.u. For the total DFT energy (no corrections), the calculation gives -4.9137 eV per atom.


Entry 15:
Density functional theory data (PBE-GGA) for crystalline Ti2VMo at its relaxed geometry.

abc: 3.174 4.448 4.448
angles: 90.00 90.00 90.00
Element x y z (fractional)
Mo  0.500  0.000  0.000
Ti  0.000  0.000  0.500
Ti  0.000  0.500  0.000
V  0.500  0.500  0.500

Properties
The density of states at the Fermi level comes out at 7.37 states/eV/f.u. For the total DFT energy (no corrections), the calculation gives -8.9174 eV per atom.


Entry 16:
Density functional theory data (PBE-GGA) for crystalline LiSn3Pd at its relaxed geometry.

abc: 6.656 6.656 6.978
angles: 106.65 122.44 97.89
Element x y z (fractional)
Li  0.698  0.057  0.755
Li  0.302  0.943  0.245
Sn  0.837  0.987  0.229
Sn  0.242  0.392  0.229
Sn  0.758  0.608  0.771
Sn  0.742  0.404  0.146
Sn  0.163  0.013  0.771
Sn  0.258  0.596  0.854
Pd  0.648  0.735  0.383
Pd  0.352  0.265  0.617

Properties
The density of states at the Fermi level comes out at 2.15 states/eV/f.u. For the total DFT energy (no corrections), the calculation gives -4.1060 eV per atom.


Entry 17:
Density functional theory data (PBE-GGA) for crystalline ZrAs2Ir at its relaxed geometry.

abc: 5.911 5.911 5.911
angles: 144.57 143.43 51.83
Element x y z (fractional)
As  0.974  0.974  0.000
As  0.705  0.205  0.500
Ir  0.535  0.535  0.000
Zr  0.286  0.786  0.500

Properties
The density of states at the Fermi level comes out at 1.51 states/eV/f.u. For the total DFT energy (no corrections), the calculation gives -7.2405 eV per atom.


Entry 18:
Density functional theory data (PBE-GGA) for crystalline PrTm3Se6 at its relaxed geometry.

abc: 4.115 11.821 11.548
angles: 109.21 90.00 90.00
Element x y z (fractional)
Pr  0.250  0.303  0.951
Pr  0.750  0.697  0.049
Tm  0.250  0.166  0.559
Tm  0.750  0.834  0.441
Tm  0.250  0.500  0.319
Tm  0.750  0.500  0.681
Tm  0.250  0.913  0.841
Tm  0.750  0.087  0.159
Se  0.250  0.386  0.520
Se  0.750  0.614  0.480
Se  0.250  0.907  0.083
Se  0.750  0.093  0.917
Se  0.250  0.942  0.608
Se  0.750  0.058  0.392
Se  0.250  0.728  0.265
Se  0.750  0.272  0.735
Se  0.250  0.534  0.881
Se  0.750  0.466  0.119
Se  0.250  0.250  0.199
Se  0.750  0.750  0.801

Properties
The value obtained for the formation energy without anion corrections is -18.78 eV/f.u.


Entry 19:
Density functional theory data (PBE-GGA) for crystalline LiBeMo2 at its relaxed geometry.

abc: 3.170 3.170 5.596
angles: 90.00 90.00 90.00
Element x y z (fractional)
Be  0.000  0.000  0.476
Li  0.500  0.500  0.737
Mo  0.000  0.000  0.023
Mo  0.500  0.500  0.264

Properties
The density of states at the Fermi level comes out at 3.50 states/eV/f.u. For the total DFT energy (no corrections), the calculation gives -6.4842 eV per atom.


Entry 20:
Density functional theory data (PBE-GGA) for crystalline NiOs2 at its relaxed geometry.

abc: 5.139 4.002 7.725
angles: 90.00 90.00 90.00
Element x y z (fractional)
Ni  0.188  0.250  0.883
Ni  0.312  0.750  0.383
Ni  0.688  0.250  0.617
Ni  0.812  0.750  0.117
Os  0.076  0.250  0.218
Os  0.182  0.250  0.557
Os  0.318  0.750  0.057
Os  0.424  0.750  0.718
Os  0.576  0.250  0.282
Os  0.682  0.250  0.943
Os  0.818  0.750  0.443
Os  0.924  0.750  0.782

Properties
The density of states at the Fermi level comes out at 1.84 states/eV/f.u. For the total DFT energy (no corrections), the calculation gives -9.1929 eV per atom.


Entry 21:
Density functional theory data (PBE-GGA) for crystalline TlSbPb2 at its relaxed geometry.

abc: 5.571 5.571 5.571
angles: 60.00 60.00 60.00
Element x y z (fractional)
Pb  0.000  0.000  0.000
Pb  0.250  0.250  0.250
Sb  0.500  0.500  0.500
Tl  0.750  0.750  0.750

Properties
The density of states at the Fermi level comes out at 3.26 states/eV/f.u. The value obtained for the formation energy without anion corrections is 0.28 eV/f.u.


Entry 22:
Density functional theory data (PBE-GGA) for crystalline Ni2SeS at its relaxed geometry.

abc: 3.897 3.897 6.103
angles: 71.38 71.38 60.00
Element x y z (fractional)
Ni  0.121  0.121  0.636
Ni  0.879  0.879  0.364
S  0.000  0.000  0.000
Se  0.500  0.500  0.500

Properties
The density of states at the Fermi level comes out at 5.39 states/eV/f.u. The value obtained for the formation energy without anion corrections is 0.13 eV/f.u.


Entry 23:
Density functional theory data (PBE-GGA) for crystalline CsZn2P2 at its relaxed geometry.

abc: 7.264 7.109 6.700
angles: 72.95 54.96 59.31
Element x y z (fractional)
Cs  0.867  0.766  0.250
Cs  0.133  0.234  0.750
Zn  0.522  0.742  0.962
Zn  0.764  0.258  0.462
Zn  0.478  0.258  0.038
Zn  0.236  0.742  0.538
P  0.533  0.435  0.250
P  0.775  0.950  0.750
P  0.225  0.050  0.250
P  0.467  0.565  0.750

Properties
The density of states at the Fermi level comes out at 1.48 states/eV/f.u. For the total DFT energy (no corrections), the calculation gives -3.1007 eV per atom.


Entry 24:
Density functional theory data (PBE-GGA) for crystalline LaAl2Ag6 at its relaxed geometry.

abc: 4.436 4.436 9.189
angles: 90.00 90.00 90.00
Element x y z (fractional)
La  0.000  0.000  0.000
Al  0.500  0.500  0.140
Al  0.500  0.500  0.860
Ag  0.000  0.500  0.294
Ag  0.500  0.000  0.294
Ag  0.000  0.500  0.706
Ag  0.500  0.000  0.706
Ag  0.500  0.500  0.500
Ag  0.000  0.000  0.500

Properties
The density of states at the Fermi level comes out at 4.86 states/eV/f.u. For the total DFT energy (no corrections), the calculation gives -3.4632 eV per atom.